1.
A plane-wave DFT calculation with PBEsol was carried out for a relaxed SnRhN2F crystal.

Lattice parameters (Å, degrees): 4.0897 4.0897 3.9133 90.00 90.00 90.00
Last column: nearest neighbours and their distance in Å.
Fractional coordinates of all 5 atoms:
Sn: 0.0000 0.0000 0.0000  2 F 1.96, 4 N 2.04
Rh: 0.5000 0.5000 0.5000  8 N 2.83, 4 F 2.89
N: 0.0000 0.5000 0.0000  2 Sn 2.04
N: 0.5000 0.0000 0.0000  2 Sn 2.04
F: 0.0000 0.0000 0.5000  2 Sn 1.96

Output
ΔE to the lowest computed polymorph	603	meV/atom

=====

2.
A plane-wave DFT calculation with PBEsol was carried out for a relaxed Y2RhNF crystal.

Lattice parameters (Å, degrees): 5.0286 5.0286 3.9235 90.00 90.00 90.00
Last column: nearest neighbours and their distance in Å.
Fractional coordinates of all 5 atoms:
Y: 0.0000 0.5000 0.0000  2 Rh 2.51
Y: 0.5000 0.0000 0.0000  2 Rh 2.51
Rh: 0.0000 0.0000 0.0000  2 F 1.96
N: 0.5000 0.5000 0.5000  8 Y 3.19, 4 F 3.56
F: 0.0000 0.0000 0.5000  2 Rh 1.96

=====

3.
A plane-wave DFT calculation with PBEsol was carried out for a relaxed ZrRhNF2 crystal.

Lattice parameters (Å, degrees): 4.0692 4.0692 4.2463 90.00 90.00 90.00
Last column: nearest neighbours and their distance in Å.
Fractional coordinates of all 5 atoms:
Zr: 0.0000 0.0000 0.0000  4 F 2.03, 2 N 2.12
Rh: 0.5000 0.5000 0.5000  4 N 2.88, 8 F 2.94
N: 0.0000 0.0000 0.5000  2 Zr 2.12
F: 0.0000 0.5000 0.0000  2 Zr 2.03
F: 0.5000 0.0000 0.0000  2 Zr 2.03

=====

4.
A plane-wave DFT calculation with PBEsol was carried out for a relaxed RuSeNF2 crystal.

Lattice parameters (Å, degrees): 4.1375 4.1375 3.7424 90.00 90.00 90.00
Last column: nearest neighbours and their distance in Å.
Fractional coordinates of all 5 atoms:
Ru: 0.0000 0.0000 0.0000  2 N 1.87, 4 F 2.07
Se: 0.5000 0.5000 0.5000  8 F 2.79, 4 N 2.93
N: 0.0000 0.0000 0.5000  2 Ru 1.87
F: 0.0000 0.5000 0.0000  2 Ru 2.07
F: 0.5000 0.0000 0.0000  2 Ru 2.07

=====

5.
A plane-wave DFT calculation with PBEsol was carried out for a relaxed RuSeN2F crystal.

Lattice parameters (Å, degrees): 3.6695 3.6695 5.2010 90.00 90.00 90.00
Last column: nearest neighbours and their distance in Å.
Fractional coordinates of all 5 atoms:
Ru: 0.0000 0.0000 0.0000  4 N 1.83
Se: 0.0000 0.0000 0.5000  4 F 2.59, 2 Ru 2.60
N: 0.0000 0.5000 0.0000  2 Ru 1.83
N: 0.5000 0.0000 0.0000  2 Ru 1.83
F: 0.5000 0.5000 0.5000  4 Se 2.59

=====

6.
A plane-wave DFT calculation with PBEsol was carried out for a relaxed TeRuNF2 crystal.

Lattice parameters (Å, degrees): 4.4108 4.4108 4.1214 90.00 90.00 90.00
Last column: nearest neighbours and their distance in Å.
Fractional coordinates of all 5 atoms:
Te: 0.0000 0.0000 0.0000  2 N 2.06, 4 F 2.21
Ru: 0.5000 0.5000 0.5000  8 F 3.02, 4 N 3.12
N: 0.0000 0.0000 0.5000  2 Te 2.06
F: 0.0000 0.5000 0.0000  2 Te 2.21
F: 0.5000 0.0000 0.0000  2 Te 2.21

=====

7.
A plane-wave DFT calculation with PBEsol was carried out for a relaxed Te2RuNF crystal.

Lattice parameters (Å, degrees): 5.2813 5.2813 3.5650 90.00 90.00 90.00
Last column: nearest neighbours and their distance in Å.
Fractional coordinates of all 5 atoms:
Te: 0.0000 0.5000 0.0000  2 Ru 2.64
Te: 0.5000 0.0000 0.0000  2 Ru 2.64
Ru: 0.0000 0.0000 0.0000  2 N 1.78
N: 0.0000 0.0000 0.5000  2 Ru 1.78
F: 0.5000 0.5000 0.5000  8 Te 3.19, 2 F 3.56

=====

8.
A plane-wave DFT calculation with PBEsol was carried out for a relaxed TeRuN2F crystal.

Lattice parameters (Å, degrees): 3.9171 3.9171 4.0259 90.00 90.00 90.00
Last column: nearest neighbours and their distance in Å.
Fractional coordinates of all 5 atoms:
Te: 0.0000 0.0000 0.0000  4 F 2.77, 8 N 2.81
Ru: 0.5000 0.5000 0.5000  4 N 1.96, 2 F 2.01
N: 0.0000 0.5000 0.5000  2 Ru 1.96
N: 0.5000 0.0000 0.5000  2 Ru 1.96
F: 0.5000 0.5000 0.0000  2 Ru 2.01

=====

9.
A plane-wave DFT calculation with PBEsol was carried out for a relaxed TlRuNF2 crystal.

Lattice parameters (Å, degrees): 4.4119 4.4119 4.1402 90.00 90.00 90.00
Last column: nearest neighbours and their distance in Å.
Fractional coordinates of all 5 atoms:
Tl: 0.0000 0.0000 0.0000  2 N 2.07, 4 F 2.21
Ru: 0.5000 0.5000 0.5000  8 F 3.03, 4 N 3.12
N: 0.0000 0.0000 0.5000  2 Tl 2.07
F: 0.0000 0.5000 0.0000  2 Tl 2.21
F: 0.5000 0.0000 0.0000  2 Tl 2.21

=====

10.
A plane-wave DFT calculation with PBEsol was carried out for a relaxed YRuNF2 crystal.

Lattice parameters (Å, degrees): 4.1328 4.1328 4.7182 90.00 90.00 90.00
Last column: nearest neighbours and their distance in Å.
Fractional coordinates of all 5 atoms:
Y: 0.0000 0.0000 0.0000  4 F 2.07
Ru: 0.5000 0.5000 0.5000  4 N 2.92, 8 F 3.14
N: 0.0000 0.0000 0.5000  2 Y 2.36
F: 0.0000 0.5000 0.0000  2 Y 2.07
F: 0.5000 0.0000 0.0000  2 Y 2.07

=====

11.
A plane-wave DFT calculation with PBEsol was carried out for a relaxed ZrRuNF2 crystal.

Lattice parameters (Å, degrees): 4.0806 4.0806 4.2645 90.00 90.00 90.00
Last column: nearest neighbours and their distance in Å.
Fractional coordinates of all 5 atoms:
Zr: 0.0000 0.0000 0.0000  4 F 2.04, 2 N 2.13
Ru: 0.5000 0.5000 0.5000  4 N 2.89, 8 F 2.95
N: 0.0000 0.0000 0.5000  2 Zr 2.13
F: 0.0000 0.5000 0.0000  2 Zr 2.04
F: 0.5000 0.0000 0.0000  2 Zr 2.04

=====

12.
A plane-wave DFT calculation with PBEsol was carried out for a relaxed SbS2NF crystal.

Lattice parameters (Å, degrees): 5.0280 5.0280 3.9458 90.00 90.00 90.00
Last column: nearest neighbours and their distance in Å.
Fractional coordinates of all 5 atoms:
Sb: 0.0000 0.0000 0.0000  2 N 1.97
S: 0.0000 0.5000 0.0000  2 Sb 2.51
S: 0.5000 0.0000 0.0000  2 Sb 2.51
N: 0.0000 0.0000 0.5000  2 Sb 1.97
F: 0.5000 0.5000 0.5000  8 S 3.20, 4 N 3.56

Output
ΔE to the lowest computed polymorph	0	meV/atom

=====

13.
A plane-wave DFT calculation with PBEsol was carried out for a relaxed SbS2NF crystal.

Lattice parameters (Å, degrees): 4.3931 4.3931 3.9715 90.00 90.00 90.00
Last column: nearest neighbours and their distance in Å.
Fractional coordinates of all 5 atoms:
Sb: 0.0000 0.0000 0.0000  8 S 2.96, 4 N 3.11
S: 0.0000 0.5000 0.5000  2 F 2.20
S: 0.5000 0.0000 0.5000  2 F 2.20
N: 0.5000 0.5000 0.0000  2 F 1.99
F: 0.5000 0.5000 0.5000  2 N 1.99, 4 S 2.20

Output
ΔE to the lowest computed polymorph	149	meV/atom

=====

14.
A plane-wave DFT calculation with PBEsol was carried out for a relaxed ScSN2F crystal.

Lattice parameters (Å, degrees): 4.2609 4.2609 3.8309 90.00 90.00 90.00
Last column: nearest neighbours and their distance in Å.
Fractional coordinates of all 5 atoms:
Sc: 0.0000 0.0000 0.0000  2 F 1.92, 4 N 2.13
S: 0.5000 0.5000 0.5000  8 N 2.86, 4 F 3.01
N: 0.0000 0.5000 0.0000  2 Sc 2.13
N: 0.5000 0.0000 0.0000  2 Sc 2.13
F: 0.0000 0.0000 0.5000  2 Sc 1.92

=====

15.
A plane-wave DFT calculation with PBEsol was carried out for a relaxed SnS2NF crystal.

Lattice parameters (Å, degrees): 5.0744 5.0744 4.0259 90.00 90.00 90.00
Last column: nearest neighbours and their distance in Å.
Fractional coordinates of all 5 atoms:
Sn: 0.0000 0.0000 0.0000  2 N 2.01
S: 0.0000 0.5000 0.0000  2 Sn 2.54
S: 0.5000 0.0000 0.0000  2 Sn 2.54
N: 0.0000 0.0000 0.5000  2 Sn 2.01
F: 0.5000 0.5000 0.5000  8 S 3.24, 4 N 3.59

=====

Ordered energy relative to the elements, uncorrected results: 864; -99; -1074; -49; 526; 630; 110; 422; 667; -817; -851; 988; 1137; 156; 957; unit meV per atom.
Ordered DOS at the Fermi energy results: 5.9; 2.4; 5.7; 3.8; 3.4; 4.5; 4.3; 3.6; 2.3; 5.3; 4.4; 3.9; 2.3; 3.2; 3.2; unit states/eV/f.u..
Ordered final energy results: -5.412; -6.546; -6.996; -5.330; -6.074; -4.586; -5.425; -6.114; -4.370; -6.692; -7.180; -3.768; -3.619; -5.838; -3.739; unit eV per atom.